(1)
Material: La2InSi2
Method: DFT, GGA-PBE
State: relaxed

Crystal system: tetragonal
Formation energy without anion corrections: -0.144 eV/atom

a = 6.614 Å, b = 6.614 Å, c = 6.614 Å
α = 134.01°, β = 134.01°, γ = 67.07°
Atoms (fractional coordinates):
Si 0.604 0.604 0.000
Si 0.396 0.396 0.000
In 0.000 0.000 0.000
La 0.750 0.250 0.500
La 0.250 0.750 0.500

=====

(2)
Material: La5In2Si
Method: DFT, GGA-PBE
State: relaxed

Crystal system: orthorhombic
Formation energy without anion corrections: -0.459 eV/atom

a = 5.378 Å, b = 6.921 Å, c = 13.416 Å
α = 90.00°, β = 90.00°, γ = 90.00°
Atoms (fractional coordinates):
Si 0.000 0.000 0.000
Si 0.000 0.500 0.500
La 0.000 0.137 0.784
La 0.000 0.363 0.284
La 0.500 0.649 0.415
La 0.000 0.500 0.000
La 0.000 0.863 0.216
La 0.500 0.851 0.915
La 0.000 0.637 0.716
La 0.500 0.149 0.085
La 0.000 0.000 0.500
La 0.500 0.351 0.585
In 0.500 0.108 0.345
In 0.500 0.892 0.655
In 0.500 0.392 0.845
In 0.500 0.608 0.155

=====

(3)
Material: La2TaInSi
Method: DFT, GGA-PBE
State: relaxed

Crystal system: tetragonal
Formation energy without anion corrections: 0.742 eV/atom

a = 5.593 Å, b = 4.891 Å, c = 5.593 Å
α = 90.00°, β = 90.00°, γ = 90.00°
Each line ends with the local moment (μB).
Atoms (fractional coordinates):
La 0.500 0.000 0.000  -0.01
La 0.000 0.000 0.500  -0.01
Si 0.000 0.000 0.000  0.00
Ta 0.500 0.500 0.500  -0.12
In 0.000 0.500 0.000  0.00

=====

(4)
Material: LaY2InSi
Method: DFT, GGA-PBE
State: relaxed

Crystal system: tetragonal
Formation energy without anion corrections: 0.874 eV/atom

a = 5.674 Å, b = 5.361 Å, c = 5.674 Å
α = 90.00°, β = 90.00°, γ = 90.00°
Atoms (fractional coordinates):
Si 0.000 0.500 0.000
Y 0.500 0.000 0.000
Y 0.000 0.000 0.500
In 0.500 0.500 0.500
La 0.000 0.000 0.000

=====

(5)
Material: La9Sm4In11
Method: DFT, GGA-PBE
State: relaxed

Crystal system: orthorhombic
Calculated formation energy: -433 meV per atom

a = 14.311 Å, b = 14.311 Å, c = 3.604 Å
α = 90.00°, β = 90.00°, γ = 99.85°
Atoms (fractional coordinates):
La 0.857 0.373 0.500
La 0.143 0.627 0.500
La 0.210 0.037 0.500
La 0.627 0.143 0.500
La 0.373 0.857 0.500
La 0.037 0.210 0.500
La 0.963 0.790 0.500
La 0.500 0.500 0.500
La 0.790 0.963 0.500
In 0.166 0.834 0.000
In 0.067 0.422 0.000
In 0.243 0.243 0.000
In 0.834 0.166 0.000
In 0.364 0.636 0.000
In 0.757 0.757 0.000
In 0.578 0.933 0.000
In 0.933 0.578 0.000
In 0.636 0.364 0.000
In 0.422 0.067 0.000
In 0.000 0.000 0.000
Sm 0.261 0.436 0.500
Sm 0.739 0.564 0.500
Sm 0.564 0.739 0.500
Sm 0.436 0.261 0.500

=====

(6)
Material: La2Sm3In2
Method: DFT, GGA-PBE
State: relaxed

Crystal system: monoclinic
Calculated formation energy: -292 meV per atom

a = 4.699 Å, b = 8.140 Å, c = 17.885 Å
α = 160.07°, β = 97.55°, γ = 90.00°
Atoms (fractional coordinates):
Sm 0.727 0.559 0.455
Sm 0.273 0.441 0.545
Sm 0.000 0.500 0.000
In 0.575 0.531 0.150
In 0.425 0.469 0.850
La 0.134 0.466 0.268
La 0.866 0.534 0.732

=====

(7)
Material: LaSm3In
Method: DFT, GGA-PBE
State: relaxed

Crystal system: orthorhombic
Calculated formation energy: -110 meV per atom

a = 5.887 Å, b = 5.834 Å, c = 9.554 Å
α = 90.00°, β = 72.06°, γ = 90.00°
Atoms (fractional coordinates):
Sm 0.878 0.750 0.893
Sm 0.575 0.250 0.498
Sm 0.270 0.750 0.108
Sm 0.073 0.750 0.502
Sm 0.771 0.250 0.107
Sm 0.378 0.250 0.892
La 0.471 0.750 0.706
La 0.177 0.250 0.294
In 0.975 0.250 0.699
In 0.674 0.750 0.301

=====

(8)
Material: LaSmIn4
Method: DFT, GGA-PBE
State: relaxed

Crystal system: orthorhombic
Calculated formation energy: -480 meV per atom

a = 4.776 Å, b = 6.422 Å, c = 6.422 Å
α = 72.36°, β = 68.17°, γ = 68.17°
Atoms (fractional coordinates):
La 0.556 0.444 0.444
Sm 0.440 0.060 0.060
In 0.160 0.639 0.040
In 0.160 0.040 0.639
In 0.842 0.453 0.863
In 0.842 0.863 0.453

=====

The records above yield magnetic moment values of 0.0; 0.0; 0.2; 0.0; 0.0; 0.0; 0.0; 0.0 Bohr magnetons per cell, respectively.
The records above yield final energy values of -24.2; -78.4; -26.2; -21.6; -103.7; -31.5; -44.7; -23.5 eV per cell, respectively.
The records above yield mass density values of 5.062; 6.334; 6.530; 4.422; 7.112; 7.396; 7.499; 7.460 g cm⁻³, respectively.